<one>
# PBE AlGaCoSe4, optimized geometry
data_AlGaCoSe4
_cell_length_a 7.521
_cell_length_b 7.521
_cell_length_c 10.551
_cell_angle_alpha 90.00
_cell_angle_beta 90.00
_cell_angle_gamma 90.00
_space_group_name_H-M_alt 'P 41 2 2'
_space_group_IT_number 91
loop_
_space_group_symop_operation_xyz
'x,y,z'
'-y,x,z+1/4'
'-x,-y,z+1/2'
'y,-x,z+3/4'
'x,-y,-z+1/2'
'-y,-x,-z+1/4'
'-x,y,-z'
'y,x,-z+3/4'
loop_
_atom_site_label
_atom_site_type_symbol
_atom_site_fract_x
_atom_site_fract_y
_atom_site_fract_z
Al1 Al 0.000 0.247 0.000
Ga1 Ga 0.247 0.500 0.750
Co1 Co 0.252 0.252 0.375
Se1 Se 0.010 0.246 0.757
Se2 Se 0.246 0.485 0.997
# Calculated density = 5.2 Mg/m³
# Calculated volume = 21.31 A^3/atom



<two>
# PBE AlGaCoSe4, optimized geometry
data_AlGaCoSe4
_cell_length_a 7.438
_cell_length_b 7.438
_cell_length_c 10.556
_cell_angle_alpha 90.00
_cell_angle_beta 90.00
_cell_angle_gamma 90.00
_space_group_name_H-M_alt 'P 41 2 2'
_space_group_IT_number 91
loop_
_space_group_symop_operation_xyz
'x,y,z'
'-y,x,z+1/4'
'-x,-y,z+1/2'
'y,-x,z+3/4'
'x,-y,-z+1/2'
'-y,-x,-z+1/4'
'-x,y,-z'
'y,x,-z+3/4'
loop_
_atom_site_label
_atom_site_type_symbol
_atom_site_fract_x
_atom_site_fract_y
_atom_site_fract_z
Al1 Al 0.244 0.244 0.375
Ga1 Ga 0.243 0.500 0.750
Co1 Co 0.000 0.249 0.000
Se1 Se 0.019 0.234 0.768
Se2 Se 0.236 0.477 0.999
# Calculated density = 5.4 Mg/m³
# Calculated volume = 20.86 A^3/atom



Which structure loses on stability? <one> does.



<one>
# PBE AlGaCoTe4, optimized geometry
data_AlGaCoTe4
_cell_length_a 8.079
_cell_length_b 8.079
_cell_length_c 11.314
_cell_angle_alpha 90.00
_cell_angle_beta 90.00
_cell_angle_gamma 90.00
_space_group_name_H-M_alt 'P 41 2 2'
_space_group_IT_number 91
loop_
_space_group_symop_operation_xyz
'x,y,z'
'-y,x,z+1/4'
'-x,-y,z+1/2'
'y,-x,z+3/4'
'x,-y,-z+1/2'
'-y,-x,-z+1/4'
'-x,y,-z'
'y,x,-z+3/4'
loop_
_atom_site_label
_atom_site_type_symbol
_atom_site_fract_x
_atom_site_fract_y
_atom_site_fract_z
Al1 Al 0.241 0.241 0.375
Ga1 Ga 0.249 0.500 0.750
Co1 Co 0.000 0.247 0.000
Te1 Te 0.023 0.231 0.770
Te2 Te 0.231 0.473 0.004
# Calculated density = 6.0 Mg/m³
# Calculated volume = 26.37 A^3/atom



<two>
# PBE AlGaCoTe4, optimized geometry
data_AlGaCoTe4
_cell_length_a 8.076
_cell_length_b 8.076
_cell_length_c 11.414
_cell_angle_alpha 90.00
_cell_angle_beta 90.00
_cell_angle_gamma 90.00
_space_group_name_H-M_alt 'P 41 2 2'
_space_group_IT_number 91
loop_
_space_group_symop_operation_xyz
'x,y,z'
'-y,x,z+1/4'
'-x,-y,z+1/2'
'y,-x,z+3/4'
'x,-y,-z+1/2'
'-y,-x,-z+1/4'
'-x,y,-z'
'y,x,-z+3/4'
loop_
_atom_site_label
_atom_site_type_symbol
_atom_site_fract_x
_atom_site_fract_y
_atom_site_fract_z
Al1 Al 0.000 0.254 0.000
Ga1 Ga 0.257 0.257 0.375
Co1 Co 0.253 0.500 0.750
Te1 Te 0.031 0.265 0.754
Te2 Te 0.267 0.475 0.978
# Calculated density = 5.9 Mg/m³
# Calculated volume = 26.58 A^3/atom



Which structure loses on stability? <one> does.



<one>
# PBE LuAlCoHg, optimized geometry
data_LuAlCoHg
_cell_length_a 6.585
_cell_length_b 6.585
_cell_length_c 6.585
_cell_angle_alpha 90.00
_cell_angle_beta 90.00
_cell_angle_gamma 90.00
_space_group_name_H-M_alt 'F -4 3 m'
_space_group_IT_number 216
_space_group_name_Hall 'F -4 2 3'
loop_
_atom_site_label
_atom_site_type_symbol
_atom_site_fract_x
_atom_site_fract_y
_atom_site_fract_z
Lu1 Lu 0.000 0.000 0.000
Al1 Al 0.000 0.000 0.500
Co1 Co 0.250 0.250 0.750
Hg1 Hg 0.250 0.250 0.250
# Calculated density = 10.7 Mg/m³
# Calculated volume = 17.84 A^3/atom



<two>
# PBE LuAlCoHg, optimized geometry
data_LuAlCoHg
_cell_length_a 6.595
_cell_length_b 6.595
_cell_length_c 6.595
_cell_angle_alpha 90.00
_cell_angle_beta 90.00
_cell_angle_gamma 90.00
_space_group_name_H-M_alt 'F -4 3 m'
_space_group_IT_number 216
_space_group_name_Hall 'F -4 2 3'
loop_
_atom_site_label
_atom_site_type_symbol
_atom_site_fract_x
_atom_site_fract_y
_atom_site_fract_z
Lu1 Lu 0.000 0.000 0.000
Al1 Al 0.250 0.250 0.250
Co1 Co 0.000 0.000 0.500
Hg1 Hg 0.250 0.250 0.750
# Calculated density = 10.7 Mg/m³
# Calculated volume = 17.93 A^3/atom



Which structure loses on stability? <two> does.